(1)
Computed, not measured: an optimized crystal structure of Y2ClF2 at the PBE level of DFT.

```
Y2ClF2
1.0
-2.354 2.354 4.034
2.354 -2.354 4.034
2.354 2.354 -4.034
Y Cl F
2 1 2
Direct
0.250 0.750 0.500
0.750 0.250 0.500
0.000 0.000 0.000
0.337 0.337 0.000
0.663 0.663 0.000
```

Properties
DOS(E_F)	3.909	states/eV per cell
ΔE_f (raw)	-2078	meV/atom
total DFT energy (no corrections)	-5.78	eV per atom


(2)
Computed, not measured: an optimized crystal structure of Y3ClF at the PBE level of DFT.

```
Y3ClF
1.0
4.966 0.000 0.000
0.000 4.966 0.000
0.000 0.000 4.966
Y Cl F
3 1 1
Direct
0.000 0.000 0.500
0.000 0.500 0.000
0.500 0.000 0.000
0.500 0.500 0.500
0.000 0.000 0.000
```

Properties
DOS(E_F)	6.564	states/eV per cell
ΔE_f (raw)	-713	meV/atom
total DFT energy (no corrections)	-5.33	eV per atom


(3)
Computed, not measured: an optimized crystal structure of YCl2F4 at the PBE level of DFT.

```
YCl2F4
1.0
9.220 -1.869 0.000
9.220 1.869 0.000
-0.714 0.000 3.679
Y Cl F
1 2 4
Direct
0.000 0.000 0.000
0.250 0.250 0.750
0.750 0.750 0.250
0.071 0.071 0.567
0.429 0.429 0.933
0.571 0.571 0.067
0.929 0.929 0.433
```

Properties
DOS(E_F)	6.037	states/eV per cell
ΔE_f (raw)	-2125	meV/atom
total DFT energy (no corrections)	-4.64	eV per atom


(4)
Computed, not measured: an optimized crystal structure of Y2ClF2 at the PBE level of DFT.

```
Y2ClF2
1.0
7.089 0.000 0.000
0.000 7.089 0.000
0.000 0.000 3.244
Y Cl F
4 2 4
Direct
0.186 0.314 0.000
0.314 0.814 0.000
0.686 0.186 0.000
0.814 0.686 0.000
0.000 0.000 0.500
0.500 0.500 0.500
0.121 0.621 0.500
0.379 0.121 0.500
0.621 0.879 0.500
0.879 0.379 0.500
```

Properties
DOS(E_F)	5.799	states/eV per cell
ΔE_f (raw)	-2002	meV/atom
total DFT energy (no corrections)	-5.71	eV per atom


(5)
Computed, not measured: an optimized crystal structure of YClF at the PBE level of DFT.

```
YClF
1.0
3.572 0.000 0.000
-1.740 6.472 0.000
-0.003 -1.736 7.113
Y Cl F
2 2 2
Direct
0.209 0.415 0.256
0.791 0.585 0.744
0.152 0.299 0.830
0.848 0.701 0.170
0.388 0.784 0.802
0.612 0.216 0.198
```

Properties
DOS(E_F)	1.276	states/eV per cell
ΔE_f (raw)	-2627	meV/atom
total DFT energy (no corrections)	-6.02	eV per atom


(6)
Computed, not measured: an optimized crystal structure of YCl3F at the PBE level of DFT.

```
YCl3F
1.0
5.274 0.000 0.000
0.000 5.274 0.000
0.000 0.000 5.274
Y Cl F
1 3 1
Direct
0.000 0.000 0.000
0.000 0.000 0.500
0.000 0.500 0.000
0.500 0.000 0.000
0.500 0.500 0.500
```

Properties
DOS(E_F)	21.145	states/eV per cell
ΔE_f (raw)	-1592	meV/atom
total DFT energy (no corrections)	-4.37	eV per atom


(7)
Computed, not measured: an optimized crystal structure of Y2Cl2F at the PBE level of DFT.

```
Y2Cl2F
1.0
6.733 0.000 0.000
0.000 6.733 0.000
0.000 0.000 4.861
Y Cl F
4 4 2
Direct
0.180 0.320 0.000
0.320 0.820 0.000
0.680 0.180 0.000
0.820 0.680 0.000
0.182 0.682 0.500
0.318 0.182 0.500
0.682 0.818 0.500
0.818 0.318 0.500
0.000 0.000 0.000
0.500 0.500 0.000
```

Properties
DOS(E_F)	4.662	states/eV per cell
ΔE_f (raw)	-1960	meV/atom
total DFT energy (no corrections)	-5.66	eV per atom


(8)
Computed, not measured: an optimized crystal structure of YCl3F at the PBE level of DFT.

```
YCl3F
1.0
4.700 0.000 0.000
0.000 4.700 0.000
0.000 0.000 4.700
Y Cl F
1 3 1
Direct
0.000 0.000 0.000
0.000 0.500 0.500
0.500 0.000 0.500
0.500 0.500 0.000
0.500 0.500 0.500
```

Properties
DOS(E_F)	1.720	states/eV per cell
ΔE_f (raw)	-736	meV/atom
total DFT energy (no corrections)	-3.51	eV per atom


(9)
Computed, not measured: an optimized crystal structure of Yb2Cl2F at the PBE level of DFT.

```
Yb2Cl2F
1.0
4.233 0.000 0.000
0.000 4.233 0.000
0.000 0.000 13.191
Yb Cl F
2 2 1
Direct
0.000 0.000 0.169
0.000 0.000 0.831
0.000 0.000 0.353
0.000 0.000 0.647
0.000 0.000 0.000
```

Properties
DOS(E_F)	32.219	states/eV per cell
ΔE_f (raw)	-1571	meV/atom
total DFT energy (no corrections)	-3.29	eV per atom


(10)
Computed, not measured: an optimized crystal structure of Zn3ClF at the PBE level of DFT.

```
Zn3ClF
1.0
4.678 0.000 0.000
0.000 4.678 0.000
0.000 0.000 4.678
Zn Cl F
3 1 1
Direct
0.000 0.000 0.500
0.000 0.500 0.000
0.500 0.000 0.000
0.500 0.500 0.500
0.000 0.000 0.000
```

Properties
DOS(E_F)	3.624	states/eV per cell
ΔE_f (raw)	-151	meV/atom
total DFT energy (no corrections)	-1.66	eV per atom


(11)
Computed, not measured: an optimized crystal structure of Zn2ClF2 at the PBE level of DFT.

```
Zn2ClF2
1.0
-2.867 2.867 5.294
2.867 -2.867 5.294
2.867 2.867 -5.294
Zn Cl F
4 2 4
Direct
0.273 0.000 0.273
0.727 0.000 0.727
0.750 0.523 0.773
0.750 0.977 0.227
0.297 0.797 0.500
0.547 0.547 0.000
0.479 0.204 0.276
0.928 0.204 0.724
0.954 0.178 0.224
0.954 0.729 0.776
```

Properties
DOS(E_F)	1.426	states/eV per cell
ΔE_f (raw)	-1377	meV/atom
total DFT energy (no corrections)	-3.00	eV per atom


(12)
Computed, not measured: an optimized crystal structure of ZnCl2F at the PBE level of DFT.

```
ZnCl2F
1.0
1.825 1.054 7.344
-1.825 1.054 7.344
0.000 -2.107 7.344
Zn Cl F
1 2 1
Direct
0.000 0.000 0.000
0.394 0.394 0.394
0.606 0.606 0.606
0.500 0.500 0.500
```

Properties
DOS(E_F)	0.000	states/eV per cell
ΔE_f (raw)	-678	meV/atom
total DFT energy (no corrections)	-2.39	eV per atom


Copy entry 4 word for word.
Computed, not measured: an optimized crystal structure of Y2ClF2 at the PBE level of DFT.

```
Y2ClF2
1.0
7.089 0.000 0.000
0.000 7.089 0.000
0.000 0.000 3.244
Y Cl F
4 2 4
Direct
0.186 0.314 0.000
0.314 0.814 0.000
0.686 0.186 0.000
0.814 0.686 0.000
0.000 0.000 0.500
0.500 0.500 0.500
0.121 0.621 0.500
0.379 0.121 0.500
0.621 0.879 0.500
0.879 0.379 0.500
```

Properties
DOS(E_F)	5.799	states/eV per cell
ΔE_f (raw)	-2002	meV/atom
total DFT energy (no corrections)	-5.71	eV per atom


- DOS(E_F) of number 10 (Zn3ClF)?
  3.624 states/eV per cell